# VAuSe2 | Alexandria | PBE | relaxed
# Raw formation energy = 0.109 eV per atom
# Volume = 293.3 Å³/cell
# Electronic total energy = -4.732 eV per atom
data_VAuSe2
_chemical_formula_sum 'V4 Au4 Se8'
_cell_length_a 6.644
_cell_length_b 6.644
_cell_length_c 6.644
_cell_angle_alpha 90.00
_cell_angle_beta 90.00
_cell_angle_gamma 90.00
_symmetry_space_group_name_H-M 'F m -3 m'
_symmetry_Int_Tables_number 225
_symmetry_space_group_name_Hall '-F 4 2 3'
loop_
_atom_site_label
_atom_site_fract_x
_atom_site_fract_y
_atom_site_fract_z
V1 0.000 0.000 0.000
Au1 0.000 0.000 0.500
Se1 0.250 0.250 0.250